The following is a DFT calculation (GGA+U) of a relaxed RbFeClO2 crystal.

Results
Electronic total energy = -3.2756 eV/atom
DOS(E_F) = 2.33 states/eV/f.u.

Structure (POSCAR):
```
RbFeClO2
1.0
4.745 0.000 0.000
0.000 4.745 0.000
0.000 0.000 4.186
Rb Fe Cl O
1 1 1 2
Cartesian
0.000 0.000 0.000
2.373 2.373 0.000
2.373 2.373 2.093
0.000 2.373 2.093
2.373 0.000 2.093
```